Entry 1:
An optimized crystal structure of PuMgGeIr, computed with PBE.

Properties
Density (Mg/m³): 11.6
DOS(E_F) (states/eV/f.u.): 5.79
Energy relative to the elements (meV per atom): -306

Unit cell a=6.7298 b=6.7298 c=6.7298 alpha=90.00 beta=90.00 gamma=90.00
Closest atoms and distances in Å follow each position.
Space group F-43m (No. 216)
Inequivalent atoms, fractional coordinates:
Pu 0.0000 0.0000 0.0000 x4  4 Ge 2.91, 4 Ir 2.91
Mg 0.0000 0.0000 0.5000 x4  4 Ir 2.91, 4 Ge 2.91
Ge 0.2500 0.2500 0.7500 x4  4 Mg 2.91, 4 Pu 2.91
Ir 0.2500 0.2500 0.2500 x4  4 Mg 2.91, 4 Pu 2.91

=====

Entry 2:
An optimized crystal structure of Tb3Tl3GaS8, computed with PBE.

Properties
Density (Mg/m³): 5.9
DOS(E_F) (states/eV/f.u.): 5.08
E_form (uncorrected) (meV/atom): -1191

Unit cell a=13.7528 b=7.9385 c=8.6776 alpha=90.00 beta=121.96 gamma=90.00
Closest atoms and distances in Å follow each position.
Space group C2/m (No. 12)
Inequivalent atoms, fractional coordinates:
Tb 0.0000 0.0000 0.0000 x2  6 S 2.74-2.77
Tb 0.2500 0.2500 0.0000 x4  6 S 2.74-2.77
Tl 0.0000 0.5000 0.5000 x2  6 S 3.16-3.17
Tl 0.2500 0.2500 0.5000 x4  6 S 3.16-3.17
Ga 0.0000 0.5000 0.0000 x2  6 S 2.55
S 0.0131 0.2686 0.8083 x8  1 Ga 2.55, 2 Tb 2.77
S 0.2182 0.5000 0.1918 x4  1 Ga 2.55, 2 Tb 2.77
S 0.2348 0.0000 0.2040 x4  3 Tb 2.74

=====

Entry 3:
An optimized crystal structure of YScNi4, computed with PBE.

Properties
Density (Mg/m³): 7.0
DOS(E_F) (states/eV/f.u.): 3.76
Energy relative to the elements (meV per atom): -462

Unit cell a=7.0568 b=7.0568 c=7.0568 alpha=90.00 beta=90.00 gamma=90.00
Closest atoms and distances in Å follow each position.
Space group F-43m (No. 216)
Inequivalent atoms, fractional coordinates:
Y 0.0000 0.0000 0.0000 x4  12 Ni 2.93, 4 Sc 3.06
Sc 0.2500 0.2500 0.2500 x4  12 Ni 2.92, 4 Y 3.06
Ni 0.1243 0.1243 0.6243 x16  6 Ni 2.48-2.51

=====

Entry 4:
An optimized crystal structure of TaInCo2, computed with PBE.

Properties
Density (Mg/m³): 11.3
DOS(E_F) (states/eV/f.u.): 4.08
Energy relative to the elements (meV per atom): 273

Unit cell a=4.4149 b=2.9353 c=5.1102 alpha=90.00 beta=113.32 gamma=90.00
Closest atoms and distances in Å follow each position.
Space group P2/m (No. 10)
Inequivalent atoms, fractional coordinates:
Ta 0.0000 0.0000 0.0000 x1  6 Co 2.63-2.65, 2 Ta 2.94, 4 In 2.95
In 0.0000 0.5000 0.5000 x1  6 Co 2.63-2.65, 2 In 2.94, 4 Ta 2.95
Co 0.5000 0.0000 0.5000 x1  2 Ta 2.63, 4 In 2.65, 6 Co 2.94-2.95
Co 0.5000 0.5000 0.0000 x1  2 In 2.63, 4 Ta 2.65, 6 Co 2.94-2.95